[1]
# MnAlTe3, optimized geometry, DFT PBE
# **Total magnetic moment**: 4.85 μB per cell
# **Relative energy among the computed polymorphs**: 724 meV/atom
data_MnAlTe3
_chemical_formula_sum 'Mn1 Al1 Te3'
_cell_length_a 5.297
_cell_length_b 5.297
_cell_length_c 5.297
_cell_angle_alpha 90.00
_cell_angle_beta 90.00
_cell_angle_gamma 90.00
_space_group_name_H-M_alt 'P m -3 m'
_space_group_IT_number 221
_space_group_name_Hall '-P 4 2 3'
loop_
_atom_site_label
_atom_site_type_symbol
_atom_site_fract_x
_atom_site_fract_y
_atom_site_fract_z
Mn1 Mn 0.000 0.000 0.000
Al1 Al 0.500 0.500 0.500
Te1 Te 0.000 0.500 0.500

[2]
# MnAlTe2, optimized geometry, DFT PBE
# **Electronic total energy**: -4.633 eV/atom
# **Total magnetic moment**: 8.81 μB per cell
data_MnAlTe2
_chemical_formula_sum 'Mn2 Al2 Te4'
_cell_length_a 3.893
_cell_length_b 7.934
_cell_length_c 8.230
_cell_angle_alpha 90.00
_cell_angle_beta 90.00
_cell_angle_gamma 90.00
_space_group_name_H-M_alt 'I m m m'
_space_group_IT_number 71
_space_group_name_Hall '-I 2 2'
loop_
_atom_site_label
_atom_site_type_symbol
_atom_site_fract_x
_atom_site_fract_y
_atom_site_fract_z
Mn1 Mn 0.000 0.000 0.000
Al1 Al 0.000 0.500 0.000
Te1 Te 0.000 0.259 0.500